Record 1
# CsHg2Pd2

CsHg2Pd2 after structural relaxation (PBE, the Alexandria database).

Output
ΔH_f (0 K): -0.05 eV/atom
energy above the most stable polymorph in this dataset: 65 meV per atom
space group: P4/mbm, No. 127

a b c (Å): 8.5078 8.5078 3.2462
angles (deg): 90.00 90.00 90.00
Atoms (fractional coordinates):
Hg 0.3350 0.1650 0.5000
Hg 0.1650 0.6650 0.5000
Hg 0.8350 0.3350 0.5000
Hg 0.6650 0.8350 0.5000
Cs 0.0000 0.0000 0.0000
Cs 0.5000 0.5000 0.0000
Pd 0.1238 0.3762 0.0000
Pd 0.3762 0.8762 0.0000
Pd 0.8762 0.6238 0.0000
Pd 0.6238 0.1238 0.0000

Record 2
# CsHgPd

CsHgPd after structural relaxation (PBE, the Alexandria database).

Output
ΔH_f (0 K): -0.13 eV/atom
energy above the most stable polymorph in this dataset: 0 meV per atom
space group: P1, No. 1

a b c (Å): 4.7896 4.7924 12.6211
angles (deg): 79.36 89.93 60.00
Atoms (fractional coordinates):
Cs 0.3632 0.9738 0.6969
Cs 0.1600 0.3802 0.0796
Pd 0.2474 0.2042 0.3496
Pd 0.5594 0.5806 0.2830
Hg 0.9017 0.8960 0.3104
Hg 0.6350 0.4321 0.5034

Record 3
# Cs3HgPd

Cs3HgPd after structural relaxation (PBE, the Alexandria database).

Output
ΔH_f (0 K): 0.04 eV/atom
energy above the most stable polymorph in this dataset: 153 meV per atom
space group: Pm-3m, No. 221

a b c (Å): 6.7593 6.7593 6.7593
angles (deg): 90.00 90.00 90.00
Atoms (fractional coordinates):
Hg 0.5000 0.5000 0.5000
Cs 0.0000 0.5000 0.0000
Cs 0.5000 0.0000 0.0000
Cs 0.0000 0.0000 0.5000
Pd 0.0000 0.0000 0.0000